No. 1
PrSi2Pt5Au: optimized geometry, PBE.

- energy relative to the elements, uncorrected (kJ/mol of formula units) = -492
- DOS at the Fermi energy (states/eV per atom) = 0.452
- space-group type = No. 123

Cell lengths 4.0908, 4.0908, 10.8359 Å; angles 90.00, 90.00, 90.00 degrees
Last column: nearest neighbours and their distance in Å.
Sites, in units of the cell vectors:
Pr 0.0000 0.0000 0.5000  4 Pt 2.89
Si 0.5000 0.5000 0.2829  5 Pt 2.35
Si 0.5000 0.5000 0.7171  5 Pt 2.35
Pt 0.0000 0.5000 0.1762  2 Si 2.35
Pt 0.5000 0.0000 0.1762  2 Si 2.35
Pt 0.0000 0.5000 0.8238  2 Si 2.35
Pt 0.5000 0.0000 0.8238  2 Si 2.35
Pt 0.5000 0.5000 0.5000  2 Si 2.35
Au 0.0000 0.0000 0.0000  8 Pt 2.80

---

No. 2
CaCdIn2: optimized geometry, PBE.

- ΔE_f (meV/atom) = -169
- DOS at the Fermi energy (states/eV per atom) = 0.384
- space-group type = No. 38

Cell lengths 3.4433, 5.7377, 5.7377 Å; angles 97.23, 90.00, 90.00 degrees
Last column: nearest neighbours and their distance in Å.
Sites, in units of the cell vectors:
Ca 0.0000 0.0001 0.9999  8 In 3.35-3.47, 2 Ca 3.44
Cd 0.5000 0.3910 0.6090  4 In 2.89-2.99
In 0.5000 0.8862 0.4973  2 Cd 2.89-2.99, 1 In 2.91
In 0.5000 0.5027 0.1138  2 Cd 2.89-2.99, 1 In 2.91

---

No. 3
Zn2CoTc: optimized geometry, PBE.

- polymorph energy (0 for the lowest one) (eV per formula unit) = 0.56
- ΔE_f (meV/atom) = 122
- DOS at the Fermi energy (states/eV per atom) = 1.229
- space-group type = No. 166

Cell lengths 8.7457, 8.7457, 8.7457 Å; angles 17.73, 17.73, 17.73 degrees
Last column: nearest neighbours and their distance in Å.
Sites, in units of the cell vectors:
Co 0.2500 0.2500 0.2500  6 Zn 2.58, 6 Co 2.70
Tc 0.7500 0.7500 0.7500  6 Tc 2.70, 6 Zn 2.74
Zn 0.9962 0.9962 0.9962  3 Co 2.58, 6 Zn 2.70, 3 Tc 2.74
Zn 0.5038 0.5038 0.5038  3 Co 2.58, 6 Zn 2.70, 3 Tc 2.74

---

No. 4
MnNiP2: optimized geometry, PBE.

- ΔE_f (meV/atom) = 253
- DOS at the Fermi energy (states/eV per atom) = 0.332
- space-group type = No. 216

Cell lengths 4.1507, 4.1507, 4.1507 Å; angles 60.00, 60.00, 60.00 degrees
Last column: nearest neighbours and their distance in Å.
Sites, in units of the cell vectors:
Mn 0.5000 0.5000 0.5000  4 Ni 2.54, 4 P 2.54
Ni 0.7500 0.7500 0.7500  4 Mn 2.54, 4 P 2.54
P 0.0000 0.0000 0.0000  4 Ni 2.54, 4 P 2.54
P 0.2500 0.2500 0.2500  4 Mn 2.54, 4 P 2.54

---

No. 5
Ir2PtAuN: optimized geometry, PBE.

- energy relative to the elements, uncorrected (kJ/mol of formula units) = 801
- DOS at the Fermi energy (states/eV per atom) = 1.483
- space-group type = No. 123

Cell lengths 5.0668, 3.5599, 5.0668 Å; angles 90.00, 90.00, 90.00 degrees
Last column: nearest neighbours and their distance in Å.
Sites, in units of the cell vectors:
Ir 0.0000 0.0000 0.5000  2 Pt 2.53
Ir 0.5000 0.0000 0.0000  2 Pt 2.53
Au 0.5000 0.5000 0.5000  8 Ir 3.10
Pt 0.0000 0.0000 0.0000  2 N 1.78
N 0.0000 0.5000 0.0000  2 Pt 1.78

---

No. 6
ScTa2Pt2: optimized geometry, PBE.

- polymorph energy (0 for the lowest one) (eV per formula unit) = 0.26
- ΔE_f (meV/atom) = -447
- DOS at the Fermi energy (states/eV per atom) = 1.193
- space-group type = No. 127

Cell lengths 8.0815, 8.0815, 2.7979 Å; angles 90.00, 90.00, 90.00 degrees
Last column: nearest neighbours and their distance in Å.
Sites, in units of the cell vectors:
Sc 0.0000 0.0000 0.0000  2 Sc 2.80
Sc 0.5000 0.5000 0.0000  2 Sc 2.80
Pt 0.1737 0.6737 0.5000  6 Ta 2.72-2.80, 2 Pt 2.80
Pt 0.6737 0.8263 0.5000  6 Ta 2.72-2.80, 2 Pt 2.80
Pt 0.8263 0.3263 0.5000  6 Ta 2.72-2.80, 2 Pt 2.80
Pt 0.3263 0.1737 0.5000  6 Ta 2.72-2.80, 2 Pt 2.80
Ta 0.3781 0.8781 0.0000  6 Pt 2.72-2.80, 3 Ta 2.79-2.80
Ta 0.8781 0.6219 0.0000  6 Pt 2.72-2.80, 3 Ta 2.79-2.80
Ta 0.6219 0.1219 0.0000  6 Pt 2.72-2.80, 3 Ta 2.79-2.80
Ta 0.1219 0.3781 0.0000  6 Pt 2.72-2.80, 3 Ta 2.79-2.80

---

No. 7
Mn2TlCrPt: optimized geometry, PBE.

- ΔE_f (meV/atom) = 771
- DOS at the Fermi energy (states/eV per atom) = 0.827
- space-group type = No. 123

Cell lengths 4.4254, 4.8610, 4.4254 Å; angles 90.00, 90.00, 90.00 degrees
Last column: nearest neighbours and their distance in Å.
Sites, in units of the cell vectors:
Cr 0.0000 0.0000 0.0000  4 Mn 2.21, 2 Pt 2.43
Tl 0.5000 0.5000 0.5000  4 Pt 3.13, 8 Mn 3.29
Mn 0.0000 0.0000 0.5000  2 Cr 2.21
Mn 0.5000 0.0000 0.0000  2 Cr 2.21
Pt 0.0000 0.5000 0.0000  2 Cr 2.43

---

No. 8
ZrScCu: optimized geometry, PBE.

- polymorph energy (0 for the lowest one) (eV per formula unit) = 0.07
- ΔE_f (meV/atom) = -128
- DOS at the Fermi energy (states/eV per atom) = 1.089
- space-group type = No. 8

Cell lengths 6.4322, 6.1087, 3.2246 Å; angles 105.31, 89.99, 105.62 degrees
Last column: nearest neighbours and their distance in Å.
Sites, in units of the cell vectors:
Sc 0.5890 0.5927 0.2084  4 Cu 2.81-2.85
Sc 0.9456 0.9984 0.9116  4 Cu 2.82-2.85
Zr 0.4366 0.9838 0.9042  4 Cu 2.87-2.88, 2 Zr 3.10, 3 Sc 3.18
Zr 0.0969 0.6057 0.2149  4 Cu 2.87-2.88, 2 Zr 3.10, 3 Sc 3.19
Cu 0.2680 0.2956 0.5603  4 Sc 2.81-2.82, 4 Zr 2.87-2.88
Cu 0.7665 0.2947 0.5599  4 Sc 2.85, 4 Zr 2.88

---

No. 9
Ho2Tm3Bi2: optimized geometry, PBE.

- ΔE_f (meV/atom) = -430
- DOS at the Fermi energy (states/eV per atom) = 0.778
- space-group type = No. 12

Cell lengths 4.3098, 6.3766, 8.4948 Å; angles 106.95, 90.00, 109.75 degrees
Last column: nearest neighbours and their distance in Å.
Sites, in units of the cell vectors:
Ho 0.8820 0.7639 0.2376  3 Bi 3.19-3.44, 4 Tm 3.49-3.53
Ho 0.1180 0.2361 0.7624  3 Bi 3.19-3.44, 4 Tm 3.49-3.53
Tm 0.5000 0.0000 0.0000  4 Bi 3.10
Tm 0.6262 0.2524 0.4429  3 Bi 3.26-3.30, 4 Tm 3.46-3.59, 4 Ho 3.49-3.62
Tm 0.3738 0.7476 0.5571  3 Bi 3.26-3.30, 4 Tm 3.46-3.59, 4 Ho 3.49-3.62
Bi 0.8226 0.6452 0.8144  5 Tm 3.10-3.30, 3 Ho 3.19-3.44
Bi 0.1774 0.3548 0.1856  5 Tm 3.10-3.30, 3 Ho 3.19-3.44

---

No. 10
KZn3: optimized geometry, PBE.

- polymorph energy (0 for the lowest one) (eV per formula unit) = 0.71
- ΔE_f (meV/atom) = 146
- DOS at the Fermi energy (states/eV per atom) = 0.330
- space-group type = No. 25

Cell lengths 3.2865, 4.2033, 7.1728 Å; angles 90.00, 90.00, 90.00 degrees
Last column: nearest neighbours and their distance in Å.
Sites, in units of the cell vectors:
K 0.0000 0.0000 0.0290  2 K 3.29, 6 Zn 3.46-3.54
Zn 0.5000 0.0000 0.4901  6 Zn 2.68-2.71
Zn 0.5000 0.5000 0.7211  4 Zn 2.68
Zn 0.0000 0.5000 0.4265  6 Zn 2.68-2.71

---

No. 11
Y8Tm6In: optimized geometry, PBE.

- ΔE_f (meV/atom) = 92
- DOS at the Fermi energy (states/eV per atom) = 1.334
- space-group type = No. 147

Cell lengths 6.2648, 9.3446, 9.3446 Å; angles 120.00, 90.00, 90.00 degrees
Last column: nearest neighbours and their distance in Å.
Sites, in units of the cell vectors:
Y 0.8109 0.0405 0.2688  1 In 3.05, 3 Y 3.33-3.34, 1 Tm 3.35
Y 0.8109 0.7312 0.7717  1 In 3.05, 3 Y 3.33-3.34, 1 Tm 3.35
Y 0.8109 0.2283 0.9595  1 In 3.05, 3 Y 3.33-3.34, 1 Tm 3.35
Y 0.1891 0.9595 0.7312  1 In 3.05, 3 Y 3.33-3.34, 1 Tm 3.35
Y 0.1891 0.2688 0.2283  1 In 3.05, 3 Y 3.33-3.34, 1 Tm 3.35
Y 0.1891 0.7717 0.0405  1 In 3.05, 3 Y 3.33-3.34, 1 Tm 3.35
Y 0.8104 0.3333 0.6667  3 Y 3.34, 3 Tm 3.66
Y 0.1896 0.6667 0.3333  3 Y 3.34, 3 Tm 3.66
Tm 0.6822 0.6396 0.0950  1 Tm 3.25, 5 Y 3.35-3.62
Tm 0.6822 0.9050 0.5446  1 Tm 3.25, 5 Y 3.35-3.62
Tm 0.6822 0.4554 0.3604  1 Tm 3.25, 5 Y 3.35-3.62
Tm 0.3178 0.3604 0.9050  1 Tm 3.25, 5 Y 3.35-3.62
Tm 0.3178 0.0950 0.4554  1 Tm 3.25, 5 Y 3.35-3.62
Tm 0.3178 0.5446 0.6396  1 Tm 3.25, 5 Y 3.35-3.62
In 0.5000 0.0000 0.0000  6 Y 3.05

---

No. 12
Hg2Ir: optimized geometry, PBE.

- ΔE_f (meV/atom) = 625
- DOS at the Fermi energy (states/eV per atom) = 0.291
- space-group type = No. 194

Cell lengths 4.7830, 4.7830, 5.8136 Å; angles 90.00, 90.00, 120.00 degrees
Last column: nearest neighbours and their distance in Å.
Sites, in units of the cell vectors:
Hg 0.0000 0.0000 0.0000  8 Hg 2.91-3.12, 6 Ir 3.12
Hg 0.0000 0.0000 0.5000  8 Hg 2.91-3.12, 6 Ir 3.12
Hg 0.3333 0.6667 0.2500  5 Ir 2.76-2.91
Hg 0.6667 0.3333 0.7500  5 Ir 2.76-2.91
Ir 0.3333 0.6667 0.7500  5 Hg 2.76-2.91
Ir 0.6667 0.3333 0.2500  5 Hg 2.76-2.91

---

Q: What is the DOS at the Fermi energy in the first record?
A: 0.452 states/eV per atom

---

Q: The lowest DOS at the Fermi energy belongs to which entry?
A: Hg2Ir

---

Q: Number 3 is which compound?
A: Zn2CoTc

---

Q: What is the DOS at the Fermi energy in the fourth record?
A: 0.332 states/eV per atom